Below is a relaxed HfPIrO crystal, with properties calculated at the PBE level.

Results
Space group: P4/nmm

Lattice parameters (Å, degrees): 5.619 5.619 4.243 90.00 90.00 90.00
Atoms (fractional coordinates):
Hf 0.000 0.000 0.500
Hf 0.500 0.500 0.500
Ir 0.500 0.000 0.493
Ir 0.000 0.500 0.507
O 0.000 0.000 0.000
O 0.500 0.500 0.000
P 0.000 0.500 0.007
P 0.500 0.000 0.993



Below is a relaxed HfPIrO crystal, with properties calculated at the PBE level.

Results
Space group: P4/nmm

Lattice parameters (Å, degrees): 5.271 5.271 4.385 90.00 90.00 90.00
Atoms (fractional coordinates):
Hf 0.500 0.000 0.500
Hf 0.000 0.500 0.500
Ir 0.000 0.000 0.137
Ir 0.500 0.500 0.863
O 0.500 0.000 0.000
O 0.000 0.500 0.000
P 0.500 0.500 0.367
P 0.000 0.000 0.633



Below is a relaxed HfPIrO crystal, with properties calculated at the PBE level.

Results
Space group: Pmc2_1

Lattice parameters (Å, degrees): 5.260 4.102 5.585 90.00 90.00 90.00
Atoms (fractional coordinates):
Hf 0.000 0.726 0.406
Hf 0.000 0.274 0.906
Ir 0.500 0.611 0.120
Ir 0.500 0.389 0.620
O 0.000 0.199 0.264
O 0.000 0.801 0.764
P 0.500 0.895 0.464
P 0.500 0.105 0.964



E above lowest polymorph: 488.0; 915.8; 177.7 (meV per atom)